Record 1
VASP calculation (meta-GGA SCAN) on a PBEsol-optimized structure of Si3Os.

Computed properties:
Density of states at the Fermi level   0.547 states/eV/atom
Raw formation energy   0.4418 eV per atom
Electronic total energy   -25.04 eV/atom

Lattice parameters (Å, degrees): 5.2341 5.2341 4.5005 90.00 90.00 120.00
Space group P6_3/mmc (No. 194)
Symmetry-distinct sites (fractional):
Si 0.1713 0.3426 0.2500 (multiplicity 6)
Os 0.3333 0.6667 0.7500 (multiplicity 2)

Record 2
VASP calculation (meta-GGA SCAN) on a PBEsol-optimized structure of SiOs.

Computed properties:
Density of states at the Fermi level   0.356 states/eV/atom
Raw formation energy   -0.2123 eV per atom
Electronic total energy   -41.16 eV/atom

Lattice parameters (Å, degrees): 2.9040 2.9040 3.6637 90.00 90.00 120.00
Space group P-6m2 (No. 187)
Symmetry-distinct sites (fractional):
Si 0.0000 0.0000 0.0000 (multiplicity 1)
Os 0.6667 0.3333 0.5000 (multiplicity 1)

Record 3
VASP calculation (meta-GGA SCAN) on a PBEsol-optimized structure of SiOs2.

Computed properties:
Density of states at the Fermi level   0.402 states/eV/atom
Raw formation energy   -0.1884 eV per atom
Electronic total energy   -51.45 eV/atom

Lattice parameters (Å, degrees): 2.7791 13.1461 4.3728 90.00 90.00 90.00
Space group Cmcm (No. 63)
Symmetry-distinct sites (fractional):
Si 0.0000 0.2174 0.2500 (multiplicity 4)
Os 0.0000 0.1241 0.7500 (multiplicity 4)
Os 0.0000 0.4443 0.7500 (multiplicity 4)